No. 1
Computed, not measured: a relaxed PrAsRh2 crystal at the GGA-PBE level of DFT.

Structure (CIF):
```
data_PrAsRh2
_cell_length_a 4.092
_cell_length_b 18.584
_cell_length_c 4.098
_cell_angle_alpha 90.00
_cell_angle_beta 90.00
_cell_angle_gamma 90.00
_space_group_name_H-M_alt 'C m c m'
_space_group_IT_number 63
_space_group_name_Hall '-C 2c 2'
loop_
_atom_site_label
_atom_site_type_symbol
_atom_site_fract_x
_atom_site_fract_y
_atom_site_fract_z
Pr1 Pr 0.000 0.099 0.250
As1 As 0.000 0.327 0.250
Rh1 Rh 0.000 0.250 0.750
Rh2 Rh 0.000 0.457 0.250
```

Output
M_tot in μB per formula unit: 0.000
Electronic total energy in eV per formula unit: -27.66
Energy of formation from the pure elements in eV/atom: -0.883

No. 2
Computed, not measured: a relaxed NaAcZn2F8 crystal at the GGA-PBE level of DFT.

Structure (CIF):
```
data_NaAcZn2F8
_cell_length_a 5.548
_cell_length_b 5.548
_cell_length_c 11.663
_cell_angle_alpha 90.00
_cell_angle_beta 90.00
_cell_angle_gamma 90.00
_space_group_name_H-M_alt 'I -4'
_space_group_IT_number 82
_space_group_name_Hall 'I -4'
loop_
_atom_site_label
_atom_site_type_symbol
_atom_site_fract_x
_atom_site_fract_y
_atom_site_fract_z
Na1 Na 0.000 0.000 0.000
Ac1 Ac 0.000 0.500 0.250
Zn1 Zn 0.000 0.000 0.500
Zn2 Zn 0.000 0.500 0.750
F1 F 0.162 0.759 0.833
F2 F 0.165 0.253 0.414
```

Output
Formation energy without anion corrections in eV per formula unit: -36.09
M_tot in μB per formula unit: 0.000
Electronic total energy in eV per formula unit: -59.03

No. 3
Computed, not measured: a relaxed LaZrCl crystal at the GGA-PBE level of DFT.

Structure (CIF):
```
data_LaZrCl
_cell_length_a 3.342
_cell_length_b 3.342
_cell_length_c 13.479
_cell_angle_alpha 90.00
_cell_angle_beta 90.00
_cell_angle_gamma 90.00
_space_group_name_H-M_alt 'I 4 m m'
_space_group_IT_number 107
_space_group_name_Hall 'I 4 -2'
loop_
_atom_site_label
_atom_site_type_symbol
_atom_site_fract_x
_atom_site_fract_y
_atom_site_fract_z
La1 La 0.000 0.000 0.000
Zr1 Zr 0.000 0.000 0.685
Cl1 Cl 0.000 0.000 0.314
```

Output
E above lowest polymorph in meV/atom: 385
Formation energy without anion corrections in eV per formula unit: -1.58
M_tot in μB per formula unit: 0.001
Electronic total energy in eV per formula unit: -16.90

No. 4
Computed, not measured: a relaxed Cs2TaTlIn crystal at the GGA-PBE level of DFT.

Structure (CIF):
```
data_Cs2TaTlIn
_cell_length_a 6.811
_cell_length_b 6.811
_cell_length_c 5.611
_cell_angle_alpha 90.00
_cell_angle_beta 90.00
_cell_angle_gamma 90.00
_space_group_name_H-M_alt 'P 4/m m m'
_space_group_IT_number 123
_space_group_name_Hall '-P 4 2'
loop_
_atom_site_label
_atom_site_type_symbol
_atom_site_fract_x
_atom_site_fract_y
_atom_site_fract_z
Cs1 Cs 0.000 0.500 0.000
Ta1 Ta 0.000 0.000 0.000
Tl1 Tl 0.000 0.000 0.500
In1 In 0.500 0.500 0.500
```

Output
M_tot in μB per formula unit: 2.501
Electronic total energy in eV per formula unit: -12.91
Energy of formation from the pure elements in eV/atom: 1.152

No. 5
Computed, not measured: a relaxed PmEuCdSb crystal at the GGA-PBE level of DFT.

Structure (CIF):
```
data_PmEuCdSb
_cell_length_a 7.737
_cell_length_b 7.737
_cell_length_c 7.737
_cell_angle_alpha 90.00
_cell_angle_beta 90.00
_cell_angle_gamma 90.00
_space_group_name_H-M_alt 'F -4 3 m'
_space_group_IT_number 216
_space_group_name_Hall 'F -4 2 3'
loop_
_atom_site_label
_atom_site_type_symbol
_atom_site_fract_x
_atom_site_fract_y
_atom_site_fract_z
Pm1 Pm 0.000 0.000 0.000
Eu1 Eu 0.000 0.000 0.500
Cd1 Cd 0.250 0.250 0.750
Sb1 Sb 0.250 0.250 0.250
```

Output
Formation energy without anion corrections in eV per formula unit: -2.36
M_tot in μB per formula unit: 7.646
Electronic total energy in eV per formula unit: -22.42

No. 6
Computed, not measured: a relaxed AcFeSb2 crystal at the GGA-PBE level of DFT.

Structure (CIF):
```
data_AcFeSb2
_cell_length_a 3.639
_cell_length_b 3.639
_cell_length_c 7.670
_cell_angle_alpha 90.00
_cell_angle_beta 90.00
_cell_angle_gamma 90.00
_space_group_name_H-M_alt 'P 4/m m m'
_space_group_IT_number 123
_space_group_name_Hall '-P 4 2'
loop_
_atom_site_label
_atom_site_type_symbol
_atom_site_fract_x
_atom_site_fract_y
_atom_site_fract_z
Ac1 Ac 0.000 0.000 0.000
Fe1 Fe 0.000 0.000 0.500
Sb1 Sb 0.500 0.500 0.306
```

Output
E above lowest polymorph in meV/atom: 283
Formation energy without anion corrections in eV per formula unit: -0.19
M_tot in μB per formula unit: 2.652
Electronic total energy in eV per formula unit: -21.00

No. 7
Computed, not measured: a relaxed RbInGe crystal at the GGA-PBE level of DFT.

Structure (CIF):
```
data_RbInGe
_cell_length_a 5.0763
_cell_length_b 5.0763
_cell_length_c 8.1646
_cell_angle_alpha 90.00
_cell_angle_beta 90.00
_cell_angle_gamma 120.00
_space_group_name_H-M_alt 'P 63 m c'
_space_group_IT_number 186
_space_group_name_Hall 'P 6c -2c'
loop_
_atom_site_label
_atom_site_type_symbol
_atom_site_fract_x
_atom_site_fract_y
_atom_site_fract_z
Rb1 Rb 0.0000 0.0000 0.0000
In1 In 0.3333 0.6667 0.2876
Ge1 Ge 0.3333 0.6667 0.6922
```

Output
M_tot in μB per formula unit: 0.000
Electronic total energy in eV per formula unit: -8.13
Energy of formation from the pure elements in eV/atom: 0.066

No. 8
Computed, not measured: a relaxed YZrMo3 crystal at the GGA-PBE level of DFT.

Structure (CIF):
```
data_YZrMo3
_cell_length_a 4.877
_cell_length_b 4.877
_cell_length_c 4.877
_cell_angle_alpha 90.00
_cell_angle_beta 90.00
_cell_angle_gamma 90.00
_space_group_name_H-M_alt 'P m -3 m'
_space_group_IT_number 221
_space_group_name_Hall '-P 4 2 3'
loop_
_atom_site_label
_atom_site_type_symbol
_atom_site_fract_x
_atom_site_fract_y
_atom_site_fract_z
Y1 Y 0.000 0.000 0.000
Zr1 Zr 0.500 0.500 0.500
Mo1 Mo 0.000 0.500 0.500
```

Output
E above lowest polymorph in meV/atom: 0
M_tot in μB per formula unit: 1.476
Electronic total energy in eV per formula unit: -40.22
Energy of formation from the pure elements in eV/atom: 1.457

- Number 6 is which compound?
  AcFeSb2